--- A ---
# HfClO2, optimized geometry, DFT GGA-PBE
data_HfClO2
_chemical_formula_sum 'Hf4 Cl4 O8'
_space_group_name_H-M_alt 'P 1'
_space_group_IT_number 1
_cell_length_a 5.6818
_cell_length_b 5.6818
_cell_length_c 5.6818
_cell_angle_alpha 90.00
_cell_angle_beta 90.00
_cell_angle_gamma 90.00
loop_
_space_group_symop_operation_xyz
'x,y,z'
loop_
_atom_site_label
_atom_site_type_symbol
_atom_site_fract_x
_atom_site_fract_y
_atom_site_fract_z
Hf1 Hf 0.0000 0.0000 0.0000
Hf2 Hf 0.0000 0.5000 0.5000
Hf3 Hf 0.5000 0.0000 0.5000
Hf4 Hf 0.5000 0.5000 0.0000
Cl1 Cl 0.0000 0.0000 0.5000
Cl2 Cl 0.0000 0.5000 0.0000
Cl3 Cl 0.5000 0.0000 0.0000
Cl4 Cl 0.5000 0.5000 0.5000
O1 O 0.2500 0.2500 0.2500
O2 O 0.2500 0.2500 0.7500
O3 O 0.2500 0.7500 0.2500
O4 O 0.2500 0.7500 0.7500
O5 O 0.7500 0.2500 0.2500
O6 O 0.7500 0.2500 0.7500
O7 O 0.7500 0.7500 0.2500
O8 O 0.7500 0.7500 0.7500
# SG: Fm-3m (225)

---

--- B ---
# HfClO2, optimized geometry, DFT GGA-PBE
data_HfClO2
_chemical_formula_sum 'Hf4 Cl4 O8'
_space_group_name_H-M_alt 'P 1'
_space_group_IT_number 1
_cell_length_a 6.3532
_cell_length_b 6.3532
_cell_length_c 8.9918
_cell_angle_alpha 90.00
_cell_angle_beta 90.00
_cell_angle_gamma 90.00
loop_
_space_group_symop_operation_xyz
'x,y,z'
loop_
_atom_site_label
_atom_site_type_symbol
_atom_site_fract_x
_atom_site_fract_y
_atom_site_fract_z
Hf1 Hf 0.0000 0.0000 0.0000
Hf2 Hf 0.0000 0.5000 0.2500
Hf3 Hf 0.5000 0.0000 0.7500
Hf4 Hf 0.5000 0.5000 0.5000
Cl1 Cl 0.0000 0.0000 0.5000
Cl2 Cl 0.0000 0.5000 0.7500
Cl3 Cl 0.5000 0.0000 0.2500
Cl4 Cl 0.5000 0.5000 0.0000
O1 O 0.0025 0.2500 0.1250
O2 O 0.2500 0.5025 0.3750
O3 O 0.2500 0.9975 0.8750
O4 O 0.4975 0.2500 0.6250
O5 O 0.5025 0.7500 0.6250
O6 O 0.7500 0.0025 0.8750
O7 O 0.7500 0.4975 0.3750
O8 O 0.9975 0.7500 0.1250
# SG: I-42d (122)

---

Least stable: A

---

--- A ---
# HfOs2Cl, optimized geometry, DFT GGA-PBE
data_HfOs2Cl
_chemical_formula_sum 'Hf4 Os8 Cl4'
_space_group_name_H-M_alt 'P 1'
_space_group_IT_number 1
_cell_length_a 6.4415
_cell_length_b 6.4415
_cell_length_c 6.4415
_cell_angle_alpha 90.00
_cell_angle_beta 90.00
_cell_angle_gamma 90.00
loop_
_space_group_symop_operation_xyz
'x,y,z'
loop_
_atom_site_label
_atom_site_type_symbol
_atom_site_fract_x
_atom_site_fract_y
_atom_site_fract_z
Hf1 Hf 0.0000 0.0000 0.0000
Hf2 Hf 0.0000 0.5000 0.5000
Hf3 Hf 0.5000 0.0000 0.5000
Hf4 Hf 0.5000 0.5000 0.0000
Os1 Os 0.2500 0.2500 0.2500
Os2 Os 0.2500 0.2500 0.7500
Os3 Os 0.2500 0.7500 0.2500
Os4 Os 0.2500 0.7500 0.7500
Os5 Os 0.7500 0.2500 0.2500
Os6 Os 0.7500 0.2500 0.7500
Os7 Os 0.7500 0.7500 0.2500
Os8 Os 0.7500 0.7500 0.7500
Cl1 Cl 0.0000 0.0000 0.5000
Cl2 Cl 0.0000 0.5000 0.0000
Cl3 Cl 0.5000 0.0000 0.0000
Cl4 Cl 0.5000 0.5000 0.5000
# SG: Fm-3m (225)

---

--- B ---
# HfOs2Cl, optimized geometry, DFT GGA-PBE
data_HfOs2Cl
_chemical_formula_sum 'Hf4 Os8 Cl4'
_space_group_name_H-M_alt 'P 1'
_space_group_IT_number 1
_cell_length_a 4.6224
_cell_length_b 4.6224
_cell_length_c 14.8783
_cell_angle_alpha 90.00
_cell_angle_beta 90.00
_cell_angle_gamma 90.00
loop_
_space_group_symop_operation_xyz
'x,y,z'
loop_
_atom_site_label
_atom_site_type_symbol
_atom_site_fract_x
_atom_site_fract_y
_atom_site_fract_z
Hf1 Hf 0.0000 0.0000 0.0000
Hf2 Hf 0.0000 0.5000 0.2500
Hf3 Hf 0.5000 0.0000 0.7500
Hf4 Hf 0.5000 0.5000 0.5000
Os1 Os 0.1317 0.2500 0.6250
Os2 Os 0.2500 0.6317 0.8750
Os3 Os 0.2500 0.8683 0.3750
Os4 Os 0.3683 0.2500 0.1250
Os5 Os 0.6317 0.7500 0.1250
Os6 Os 0.7500 0.1317 0.3750
Os7 Os 0.7500 0.3683 0.8750
Os8 Os 0.8683 0.7500 0.6250
Cl1 Cl 0.0000 0.0000 0.5000
Cl2 Cl 0.0000 0.5000 0.7500
Cl3 Cl 0.5000 0.0000 0.2500
Cl4 Cl 0.5000 0.5000 0.0000
# SG: I-42d (122)

---

Least stable: B

---

--- A ---
# HfOs3Cl, optimized geometry, DFT GGA-PBE
data_HfOs3Cl
_chemical_formula_sum 'Hf1 Os3 Cl1'
_space_group_name_H-M_alt 'P 1'
_space_group_IT_number 1
_cell_length_a 4.9495
_cell_length_b 4.9495
_cell_length_c 4.9495
_cell_angle_alpha 90.00
_cell_angle_beta 90.00
_cell_angle_gamma 90.00
loop_
_space_group_symop_operation_xyz
'x,y,z'
loop_
_atom_site_label
_atom_site_type_symbol
_atom_site_fract_x
_atom_site_fract_y
_atom_site_fract_z
Hf1 Hf 0.0000 0.0000 0.0000
Os1 Os 0.0000 0.0000 0.5000
Os2 Os 0.0000 0.5000 0.0000
Os3 Os 0.5000 0.0000 0.0000
Cl1 Cl 0.5000 0.5000 0.5000
# SG: Pm-3m (221)

---

--- B ---
# HfOs3Cl, optimized geometry, DFT GGA-PBE
data_HfOs3Cl
_chemical_formula_sum 'Hf1 Os3 Cl1'
_space_group_name_H-M_alt 'P 1'
_space_group_IT_number 1
_cell_length_a 4.3838
_cell_length_b 4.3838
_cell_length_c 4.3838
_cell_angle_alpha 90.00
_cell_angle_beta 90.00
_cell_angle_gamma 90.00
loop_
_space_group_symop_operation_xyz
'x,y,z'
loop_
_atom_site_label
_atom_site_type_symbol
_atom_site_fract_x
_atom_site_fract_y
_atom_site_fract_z
Hf1 Hf 0.0000 0.0000 0.0000
Os1 Os 0.0000 0.5000 0.5000
Os2 Os 0.5000 0.0000 0.5000
Os3 Os 0.5000 0.5000 0.0000
Cl1 Cl 0.5000 0.5000 0.5000
# SG: Pm-3m (221)

---

Least stable: A

---

--- A ---
# HfOsCl3, optimized geometry, DFT GGA-PBE
data_HfOsCl3
_chemical_formula_sum 'Hf1 Os1 Cl3'
_space_group_name_H-M_alt 'P 1'
_space_group_IT_number 1
_cell_length_a 4.9878
_cell_length_b 4.9878
_cell_length_c 4.9878
_cell_angle_alpha 90.00
_cell_angle_beta 90.00
_cell_angle_gamma 90.00
loop_
_space_group_symop_operation_xyz
'x,y,z'
loop_
_atom_site_label
_atom_site_type_symbol
_atom_site_fract_x
_atom_site_fract_y
_atom_site_fract_z
Hf1 Hf 0.0000 0.0000 0.0000
Os1 Os 0.5000 0.5000 0.5000
Cl1 Cl 0.0000 0.0000 0.5000
Cl2 Cl 0.0000 0.5000 0.0000
Cl3 Cl 0.5000 0.0000 0.0000
# SG: Pm-3m (221)

---

--- B ---
# HfOsCl3, optimized geometry, DFT GGA-PBE
data_HfOsCl3
_chemical_formula_sum 'Hf1 Os1 Cl3'
_space_group_name_H-M_alt 'P 1'
_space_group_IT_number 1
_cell_length_a 4.7596
_cell_length_b 4.7596
_cell_length_c 4.7596
_cell_angle_alpha 90.00
_cell_angle_beta 90.00
_cell_angle_gamma 90.00
loop_
_space_group_symop_operation_xyz
'x,y,z'
loop_
_atom_site_label
_atom_site_type_symbol
_atom_site_fract_x
_atom_site_fract_y
_atom_site_fract_z
Hf1 Hf 0.0000 0.0000 0.0000
Os1 Os 0.5000 0.5000 0.5000
Cl1 Cl 0.0000 0.5000 0.5000
Cl2 Cl 0.5000 0.0000 0.5000
Cl3 Cl 0.5000 0.5000 0.0000
# SG: Pm-3m (221)

---

Least stable: B

---

--- A ---
# HfP3Cl, optimized geometry, DFT GGA-PBE
data_HfP3Cl
_chemical_formula_sum 'Hf1 P3 Cl1'
_space_group_name_H-M_alt 'P 1'
_space_group_IT_number 1
_cell_length_a 4.9833
_cell_length_b 4.9833
_cell_length_c 4.9833
_cell_angle_alpha 90.00
_cell_angle_beta 90.00
_cell_angle_gamma 90.00
loop_
_space_group_symop_operation_xyz
'x,y,z'
loop_
_atom_site_label
_atom_site_type_symbol
_atom_site_fract_x
_atom_site_fract_y
_atom_site_fract_z
Hf1 Hf 0.0000 0.0000 0.0000
P1 P 0.0000 0.0000 0.5000
P2 P 0.0000 0.5000 0.0000
P3 P 0.5000 0.0000 0.0000
Cl1 Cl 0.5000 0.5000 0.5000
# SG: Pm-3m (221)

---

--- B ---
# HfP3Cl, optimized geometry, DFT GGA-PBE
data_HfP3Cl
_chemical_formula_sum 'Hf1 P3 Cl1'
_space_group_name_H-M_alt 'P 1'
_space_group_IT_number 1
_cell_length_a 4.4737
_cell_length_b 4.4737
_cell_length_c 4.4737
_cell_angle_alpha 90.00
_cell_angle_beta 90.00
_cell_angle_gamma 90.00
loop_
_space_group_symop_operation_xyz
'x,y,z'
loop_
_atom_site_label
_atom_site_type_symbol
_atom_site_fract_x
_atom_site_fract_y
_atom_site_fract_z
Hf1 Hf 0.0000 0.0000 0.0000
P1 P 0.0000 0.5000 0.5000
P2 P 0.5000 0.0000 0.5000
P3 P 0.5000 0.5000 0.0000
Cl1 Cl 0.5000 0.5000 0.5000
# SG: Pm-3m (221)

---

Least stable: B

---

--- A ---
# Hf2PCl, optimized geometry, DFT GGA-PBE
data_Hf2PCl
_chemical_formula_sum 'Hf8 P4 Cl4'
_space_group_name_H-M_alt 'P 1'
_space_group_IT_number 1
_cell_length_a 5.7595
_cell_length_b 5.7595
_cell_length_c 11.4206
_cell_angle_alpha 90.00
_cell_angle_beta 90.00
_cell_angle_gamma 90.00
loop_
_space_group_symop_operation_xyz
'x,y,z'
loop_
_atom_site_label
_atom_site_type_symbol
_atom_site_fract_x
_atom_site_fract_y
_atom_site_fract_z
Hf1 Hf 0.2408 0.2500 0.1250
Hf2 Hf 0.2500 0.7408 0.3750
Hf3 Hf 0.2500 0.7592 0.8750
Hf4 Hf 0.2592 0.2500 0.6250
Hf5 Hf 0.7408 0.7500 0.6250
Hf6 Hf 0.7500 0.2408 0.8750
Hf7 Hf 0.7500 0.2592 0.3750
Hf8 Hf 0.7592 0.7500 0.1250
P1 P 0.0000 0.0000 0.0000
P2 P 0.0000 0.5000 0.2500
P3 P 0.5000 0.0000 0.7500
P4 P 0.5000 0.5000 0.5000
Cl1 Cl 0.0000 0.0000 0.5000
Cl2 Cl 0.0000 0.5000 0.7500
Cl3 Cl 0.5000 0.0000 0.2500
Cl4 Cl 0.5000 0.5000 0.0000
# SG: I-42d (122)

---

--- B ---
# Hf2PCl, optimized geometry, DFT GGA-PBE
data_Hf2PCl
_chemical_formula_sum 'Hf8 P4 Cl4'
_space_group_name_H-M_alt 'P 1'
_space_group_IT_number 1
_cell_length_a 6.4681
_cell_length_b 6.4681
_cell_length_c 6.4681
_cell_angle_alpha 90.00
_cell_angle_beta 90.00
_cell_angle_gamma 90.00
loop_
_space_group_symop_operation_xyz
'x,y,z'
loop_
_atom_site_label
_atom_site_type_symbol
_atom_site_fract_x
_atom_site_fract_y
_atom_site_fract_z
Hf1 Hf 0.2500 0.2500 0.2500
Hf2 Hf 0.2500 0.2500 0.7500
Hf3 Hf 0.2500 0.7500 0.2500
Hf4 Hf 0.2500 0.7500 0.7500
Hf5 Hf 0.7500 0.2500 0.2500
Hf6 Hf 0.7500 0.2500 0.7500
Hf7 Hf 0.7500 0.7500 0.2500
Hf8 Hf 0.7500 0.7500 0.7500
P1 P 0.0000 0.0000 0.0000
P2 P 0.0000 0.5000 0.5000
P3 P 0.5000 0.0000 0.5000
P4 P 0.5000 0.5000 0.0000
Cl1 Cl 0.0000 0.0000 0.5000
Cl2 Cl 0.0000 0.5000 0.0000
Cl3 Cl 0.5000 0.0000 0.0000
Cl4 Cl 0.5000 0.5000 0.5000
# SG: Fm-3m (225)

---

Least stable: A

---

--- A ---
# HfPCl, optimized geometry, DFT GGA-PBE
data_HfPCl
_chemical_formula_sum 'Hf2 P2 Cl2'
_space_group_name_H-M_alt 'P 1'
_space_group_IT_number 1
_cell_length_a 3.6845
_cell_length_b 5.1483
_cell_length_c 8.3675
_cell_angle_alpha 90.00
_cell_angle_beta 90.00
_cell_angle_gamma 90.00
loop_
_space_group_symop_operation_xyz
'x,y,z'
loop_
_atom_site_label
_atom_site_type_symbol
_atom_site_fract_x
_atom_site_fract_y
_atom_site_fract_z
Hf1 Hf 0.2500 0.2500 0.1102
Hf2 Hf 0.7500 0.7500 0.8898
P1 P 0.2500 0.7500 0.1073
P2 P 0.7500 0.2500 0.8927
Cl1 Cl 0.2500 0.7500 0.6726
Cl2 Cl 0.7500 0.2500 0.3274
# SG: Pmmn (59)

---

--- B ---
# HfPCl, optimized geometry, DFT GGA-PBE
data_HfPCl
_chemical_formula_sum 'Hf4 P4 Cl4'
_space_group_name_H-M_alt 'P 1'
_space_group_IT_number 1
_cell_length_a 3.5015
_cell_length_b 3.5015
_cell_length_c 22.0750
_cell_angle_alpha 90.00
_cell_angle_beta 90.00
_cell_angle_gamma 90.00
loop_
_space_group_symop_operation_xyz
'x,y,z'
loop_
_atom_site_label
_atom_site_type_symbol
_atom_site_fract_x
_atom_site_fract_y
_atom_site_fract_z
Hf1 Hf 0.0000 0.0000 0.1680
Hf2 Hf 0.0000 0.0000 0.8320
Hf3 Hf 0.5000 0.5000 0.3320
Hf4 Hf 0.5000 0.5000 0.6680
P1 P 0.0000 0.0000 0.2894
P2 P 0.0000 0.0000 0.7106
P3 P 0.5000 0.5000 0.2106
P4 P 0.5000 0.5000 0.7894
Cl1 Cl 0.0000 0.5000 0.0812
Cl2 Cl 0.0000 0.5000 0.4188
Cl3 Cl 0.5000 0.0000 0.5812
Cl4 Cl 0.5000 0.0000 0.9188
# SG: I-4m2 (119)

---

--- C ---
# HfPCl, optimized geometry, DFT GGA-PBE
data_HfPCl
_chemical_formula_sum 'Hf4 P4 Cl4'
_space_group_name_H-M_alt 'P 1'
_space_group_IT_number 1
_cell_length_a 9.0494
_cell_length_b 3.5078
_cell_length_c 10.5224
_cell_angle_alpha 90.00
_cell_angle_beta 113.76
_cell_angle_gamma 90.00
loop_
_space_group_symop_operation_xyz
'x,y,z'
loop_
_atom_site_label
_atom_site_type_symbol
_atom_site_fract_x
_atom_site_fract_y
_atom_site_fract_z
Hf1 Hf 0.0000 0.0000 0.0000
Hf2 Hf 0.1183 0.5000 0.7223
Hf3 Hf 0.5000 0.5000 0.0000
Hf4 Hf 0.6183 0.0000 0.7223
P1 P 0.1987 0.5000 0.9769
P2 P 0.3562 0.0000 0.7910
P3 P 0.6987 0.0000 0.9769
P4 P 0.8562 0.5000 0.7910
Cl1 Cl 0.0245 0.5000 0.1899
Cl2 Cl 0.4649 0.5000 0.5367
Cl3 Cl 0.5245 0.0000 0.1899
Cl4 Cl 0.9649 0.0000 0.5367
# SG: Cm (8)

---

Least stable: C

---

--- A ---
# HfPCl, optimized geometry, DFT GGA-PBE
data_HfPCl
_chemical_formula_sum 'Hf2 P2 Cl2'
_space_group_name_H-M_alt 'P 1'
_space_group_IT_number 1
_cell_length_a 3.6814
_cell_length_b 3.6814
_cell_length_c 13.4466
_cell_angle_alpha 90.00
_cell_angle_beta 90.00
_cell_angle_gamma 120.00
loop_
_space_group_symop_operation_xyz
'x,y,z'
loop_
_atom_site_label
_atom_site_type_symbol
_atom_site_fract_x
_atom_site_fract_y
_atom_site_fract_z
Hf1 Hf 0.3333 0.6667 0.0000
Hf2 Hf 0.6667 0.3333 0.5000
P1 P 0.3333 0.6667 0.5974
P2 P 0.6667 0.3333 0.0974
Cl1 Cl 0.0000 0.0000 0.3722
Cl2 Cl 0.0000 0.0000 0.8722
# SG: P6_3mc (186)

---

--- B ---
# HfPCl, optimized geometry, DFT GGA-PBE
data_HfPCl
_chemical_formula_sum 'Hf1 P1 Cl1'
_space_group_name_H-M_alt 'P 1'
_space_group_IT_number 1
_cell_length_a 3.6312
_cell_length_b 3.6312
_cell_length_c 5.0956
_cell_angle_alpha 90.00
_cell_angle_beta 90.00
_cell_angle_gamma 90.00
loop_
_space_group_symop_operation_xyz
'x,y,z'
loop_
_atom_site_label
_atom_site_type_symbol
_atom_site_fract_x
_atom_site_fract_y
_atom_site_fract_z
Hf1 Hf 0.0000 0.0000 0.0000
P1 P 0.5000 0.5000 0.0000
Cl1 Cl 0.0000 0.0000 0.5000
# SG: P4/mmm (123)

---

--- C ---
# HfPCl, optimized geometry, DFT GGA-PBE
data_HfPCl
_chemical_formula_sum 'Hf2 P2 Cl2'
_space_group_name_H-M_alt 'P 1'
_space_group_IT_number 1
_cell_length_a 3.3553
_cell_length_b 4.7832
_cell_length_c 9.9082
_cell_angle_alpha 89.30
_cell_angle_beta 89.70
_cell_angle_gamma 69.47
loop_
_space_group_symop_operation_xyz
'x,y,z'
loop_
_atom_site_label
_atom_site_type_symbol
_atom_site_fract_x
_atom_site_fract_y
_atom_site_fract_z
Hf1 Hf 0.0744 0.3454 0.1431
Hf2 Hf 0.9256 0.6546 0.8569
P1 P 0.3601 0.7801 0.0624
P2 P 0.6399 0.2199 0.9376
Cl1 Cl 0.3657 0.7800 0.6716
Cl2 Cl 0.6343 0.2200 0.3284
# SG: P-1 (2)

---

--- D ---
# HfPCl, optimized geometry, DFT GGA-PBE
data_HfPCl
_chemical_formula_sum 'Hf2 P2 Cl2'
_space_group_name_H-M_alt 'P 1'
_space_group_IT_number 1
_cell_length_a 3.6448
_cell_length_b 3.4211
_cell_length_c 10.9944
_cell_angle_alpha 90.00
_cell_angle_beta 90.25
_cell_angle_gamma 90.00
loop_
_space_group_symop_operation_xyz
'x,y,z'
loop_
_atom_site_label
_atom_site_type_symbol
_atom_site_fract_x
_atom_site_fract_y
_atom_site_fract_z
Hf1 Hf 0.2479 0.2500 0.3377
Hf2 Hf 0.7521 0.7500 0.6623
P1 P 0.2510 0.2500 0.5807
P2 P 0.7490 0.7500 0.4193
Cl1 Cl 0.2456 0.7500 0.1614
Cl2 Cl 0.7544 0.2500 0.8386
# SG: P2_1/m (11)

---

Least stable: A